# LiCaZnGe2

A geometry-optimized LiCaZnGe2 structure (PBE-GGA, Alexandria).

Cell lengths 4.2081, 4.2081, 6.2312 Å; angles 109.73, 109.73, 90.00 degrees
Fractional positions:
Li: 0.7500 0.2500 0.5000
Ca: 0.0000 0.0000 0.0000
Zn: 0.2500 0.7500 0.5000
Ge: 0.6128 0.6128 0.2256
Ge: 0.3872 0.3872 0.7744

Its symmetry is No. 119. The formation enthalpy at 0 K comes out at -0.454 eV per atom. As for the total energy: -3.34 eV/atom.



# LiCaZnGe

A geometry-optimized LiCaZnGe structure (PBE-GGA, Alexandria).

Cell lengths 4.8428, 4.8428, 4.8428 Å; angles 60.00, 60.00, 60.00 degrees
Fractional positions:
Ge: 0.2500 0.2500 0.2500
Ca: 0.5000 0.5000 0.5000
Zn: 0.7500 0.7500 0.7500
Li: 0.0000 0.0000 0.0000

Its symmetry is No. 216. The formation enthalpy at 0 K comes out at -0.295 eV per atom. As for the total energy: -2.75 eV/atom.



# LiCaZn2Ge2

A geometry-optimized LiCaZn2Ge2 structure (PBE-GGA, Alexandria).

Cell lengths 4.2978, 4.2978, 7.0444 Å; angles 90.00, 90.00, 120.00 degrees
Fractional positions:
Li: 0.0000 0.0000 0.5000
Ca: 0.0000 0.0000 0.0000
Zn: 0.3333 0.6667 0.6719
Zn: 0.6667 0.3333 0.3281
Ge: 0.3333 0.6667 0.2631
Ge: 0.6667 0.3333 0.7369

Its symmetry is No. 164. The formation enthalpy at 0 K comes out at -0.382 eV per atom. As for the total energy: -3.00 eV/atom.



# LiCaZr2Ge

A geometry-optimized LiCaZr2Ge structure (PBE-GGA, Alexandria).

Cell lengths 5.1580, 5.6007, 5.1580 Å; angles 90.00, 90.00, 90.00 degrees
Fractional positions:
Ge: 0.0000 0.0000 0.0000
Ca: 0.0000 0.5000 0.0000
Zr: 0.0000 0.0000 0.5000
Zr: 0.5000 0.0000 0.0000
Li: 0.5000 0.5000 0.5000

Its symmetry is No. 123. The formation enthalpy at 0 K comes out at 0.326 eV per atom. As for the total energy: -4.80 eV/atom.



# CaLuGe2

A geometry-optimized CaLuGe2 structure (PBE-GGA, Alexandria).

Cell lengths 4.7176, 4.7176, 5.6442 Å; angles 65.30, 65.30, 60.00 degrees
Fractional positions:
Ge: 0.7542 0.7542 0.7374
Ge: 0.2458 0.2458 0.2626
Lu: 0.5000 0.5000 0.5000
Ca: 0.0000 0.0000 0.0000

Its symmetry is No. 166. The formation enthalpy at 0 K comes out at -0.503 eV per atom. As for the total energy: -4.44 eV/atom.



# CaLuGe2

A geometry-optimized CaLuGe2 structure (PBE-GGA, Alexandria).

Cell lengths 3.7302, 3.7302, 6.6780 Å; angles 90.00, 90.00, 90.00 degrees
Fractional positions:
Ge: 0.0000 0.0000 0.7898
Ge: 0.0000 0.0000 0.2102
Lu: 0.5000 0.5000 0.0000
Ca: 0.5000 0.5000 0.5000

Its symmetry is No. 123. The formation enthalpy at 0 K comes out at -0.560 eV per atom. As for the total energy: -4.50 eV/atom.



# CaLuGe

A geometry-optimized CaLuGe structure (PBE-GGA, Alexandria).

Cell lengths 4.8946, 4.8946, 4.8946 Å; angles 60.00, 60.00, 60.00 degrees
Fractional positions:
Ge: 0.2500 0.2500 0.2500
Lu: 0.0000 0.0000 0.0000
Ca: 0.5000 0.5000 0.5000

Its symmetry is No. 216. The formation enthalpy at 0 K comes out at -0.478 eV per atom. As for the total energy: -4.19 eV/atom.



# CaLuGe2

A geometry-optimized CaLuGe2 structure (PBE-GGA, Alexandria).

Cell lengths 3.3656, 5.2033, 5.2033 Å; angles 90.00, 90.00, 90.00 degrees
Fractional positions:
Ge: 0.0000 0.0000 0.5000
Ge: 0.0000 0.5000 0.0000
Lu: 0.5000 0.0000 0.0000
Ca: 0.5000 0.5000 0.5000

Its symmetry is No. 123. The formation enthalpy at 0 K comes out at -0.508 eV per atom. As for the total energy: -4.45 eV/atom.